[1]
# Ti2Mo4W

Crystalline Ti2Mo4W at its relaxed geometry (PBE, the Alexandria database).

POSCAR file:
```
Ti2Mo4W
1.0
-1.2660 0.9676 -2.1259
-1.7920 -1.8981 0.2032
-8.3883 10.7853 9.9045
Mo Ti W
4 2 1
direct
0.0000 0.1438 0.2876 Mo
0.0000 0.8562 0.7124 Mo
0.5000 0.0688 0.1375 Mo
0.5000 0.9312 0.8625 Mo
0.5000 0.2886 0.5772 Ti
0.5000 0.7114 0.4228 Ti
0.0000 0.5000 0.0000 W
```

Results
The raw total energy is -9.88 eV per atom. The value obtained for the total moment is 0.00 μB per formula unit. Its space group is Cmmm. For the formation energy, the calculation gives 0.411 eV/atom. The value obtained for the energy relative to the lowest polymorph listed for this composition is 318 meV/atom. The calculated volume is 117.0 Å³/cell.

[2]
# TiMo4W2

Crystalline TiMo4W2 at its relaxed geometry (PBE, the Alexandria database).

POSCAR file:
```
TiMo4W2
1.0
4.1543 0.4934 -1.4879
-1.9032 7.4396 -2.8429
0.4594 -0.9441 7.6003
Mo W Ti
8 4 2
direct
0.0616 0.6633 0.0515 Mo
0.4611 0.7956 0.8504 Mo
0.8611 0.5982 0.6509 Mo
0.2622 0.0666 0.4535 Mo
0.2553 0.3881 0.4400 Mo
0.8619 0.9328 0.6524 Mo
0.0602 0.3347 0.0488 Mo
0.4617 0.1256 0.8516 Mo
0.6597 0.5183 0.2484 W
0.4600 0.4634 0.8485 W
0.6606 0.8652 0.2497 W
0.8559 0.2606 0.6408 W
0.2614 0.7302 0.4517 Ti
0.0674 0.0074 0.0619 Ti
```

Results
The raw total energy is -10.88 eV per atom. The value obtained for the total moment is 0.00 μB per formula unit. Its space group is Cm. For the formation energy, the calculation gives 0.134 eV/atom. The value obtained for the energy relative to the lowest polymorph listed for this composition is 0 meV/atom. The calculated volume is 232.7 Å³/cell.

[3]
# Ti3Mo3W2

Crystalline Ti3Mo3W2 at its relaxed geometry (PBE, the Alexandria database).

POSCAR file:
```
Ti3Mo3W2
1.0
-1.4395 2.6732 -0.8990
0.5615 -1.1618 -4.3538
-7.3735 -4.9272 2.7321
Ti W Mo
3 2 3
direct
0.5000 0.0000 0.0000 Ti
0.3777 0.3777 0.7553 Ti
0.6223 0.6223 0.2447 Ti
0.2535 0.7535 0.5070 W
0.7465 0.2465 0.4930 W
0.1262 0.1262 0.2524 Mo
0.8738 0.8738 0.7476 Mo
0.0000 0.5000 0.0000 Mo
```

Results
The raw total energy is -10.35 eV per atom. The value obtained for the total moment is 0.00 μB per formula unit. Its space group is Immm. For the formation energy, the calculation gives -0.091 eV/atom. The calculated volume is 127.4 Å³/cell.

[4]
# TiMo6W

Crystalline TiMo6W at its relaxed geometry (PBE, the Alexandria database).

POSCAR file:
```
TiMo6W
1.0
4.4784 0.0000 0.0000
0.0000 5.0454 -2.1272
0.0000 0.3264 5.4657
Mo Ti W
6 1 1
direct
0.0000 0.1240 0.3743 Mo
0.5000 0.3755 0.1255 Mo
0.5000 0.8745 0.6245 Mo
0.0000 0.6257 0.8760 Mo
0.0000 0.6228 0.3772 Mo
0.5000 0.8758 0.1242 Mo
0.5000 0.3740 0.6260 Ti
0.0000 0.1273 0.8727 W
```

Results
The raw total energy is -10.85 eV per atom. The value obtained for the total moment is 0.00 μB per formula unit. Its space group is Amm2. For the formation energy, the calculation gives -0.120 eV/atom. The value obtained for the energy relative to the lowest polymorph listed for this composition is 0 meV/atom. The calculated volume is 126.6 Å³/cell.

[5]
# TiMo2W6

Crystalline TiMo2W6 at its relaxed geometry (PBE, the Alexandria database).

POSCAR file:
```
TiMo2W6
1.0
-0.2603 2.3876 1.9620
-5.1397 -3.5201 4.5702
7.6009 0.5966 1.2507
Ti Mo W
1 2 6
direct
0.0000 0.0000 0.0000 Ti
0.5000 0.8357 0.1643 Mo
0.5000 0.1643 0.8357 Mo
0.6658 0.6643 0.6643 W
0.1622 0.8303 0.5057 W
0.8378 0.4943 0.1697 W
0.3342 0.3357 0.3357 W
0.1622 0.5057 0.8303 W
0.8378 0.1697 0.4943 W
```

Results
The raw total energy is -11.77 eV per atom. The value obtained for the total moment is 0.00 μB per formula unit. Its space group is C2/m. For the formation energy, the calculation gives 0.147 eV/atom. The value obtained for the energy relative to the lowest polymorph listed for this composition is 0 meV/atom. The calculated volume is 146.6 Å³/cell.

[6]
# TiMo2W4

Crystalline TiMo2W4 at its relaxed geometry (PBE, the Alexandria database).

POSCAR file:
```
TiMo2W4
1.0
-3.4212 2.2106 3.6906
3.1170 -4.4430 0.8697
3.7538 3.9627 -0.6464
Mo W Ti
2 4 1
direct
0.2500 0.7500 0.5000 Mo
0.7500 0.2500 0.5000 Mo
0.1874 0.1874 0.3748 W
0.8126 0.8126 0.6252 W
0.1874 0.8126 0.0000 W
0.8126 0.1874 0.0000 W
0.5000 0.5000 0.0000 Ti
```

Results
The raw total energy is -11.20 eV per atom. The value obtained for the total moment is 0.00 μB per formula unit. Its space group is I4/mmm. For the formation energy, the calculation gives 0.423 eV/atom. The value obtained for the energy relative to the lowest polymorph listed for this composition is 51 meV/atom. The calculated volume is 120.8 Å³/cell.

[7]
# TiMo4W

Crystalline TiMo4W at its relaxed geometry (PBE, the Alexandria database).

POSCAR file:
```
TiMo4W
1.0
4.4632 0.0000 0.0000
2.2316 4.6808 -0.8114
2.2316 -0.7862 4.6833
W Mo Ti
1 4 1
direct
0.0000 0.0000 0.0000 W
0.3289 0.3359 0.0063 Mo
0.1694 0.1613 0.4999 Mo
0.6711 0.6641 0.9937 Mo
0.8306 0.8387 0.5001 Mo
0.5000 0.5000 0.5000 Ti
```

Results
The raw total energy is -10.82 eV per atom. The value obtained for the total moment is 0.00 μB per formula unit. Its space group is C2/m. For the formation energy, the calculation gives -0.123 eV/atom. The value obtained for the energy relative to the lowest polymorph listed for this composition is 12 meV/atom. The calculated volume is 95.0 Å³/cell.

[8]
# Ti5Mo2W5

Crystalline Ti5Mo2W5 at its relaxed geometry (PBE, the Alexandria database).

POSCAR file:
```
Ti5Mo2W5
1.0
-0.1785 -3.9212 -2.2344
4.6240 -1.7931 -1.7876
2.7138 -6.3526 6.3666
Ti Mo W
5 2 5
direct
0.8398 0.8158 0.5046 Ti
0.7425 0.2599 0.2551 Ti
0.1602 0.1842 0.4954 Ti
0.0000 0.0000 0.0000 Ti
0.2575 0.7401 0.7449 Ti
0.9186 0.4090 0.7538 Mo
0.0814 0.5910 0.2462 Mo
0.5764 0.0954 0.7518 W
0.3276 0.3367 0.0081 W
0.4236 0.9046 0.2482 W
0.5000 0.5000 0.5000 W
0.6724 0.6633 0.9919 W
```

Results
The raw total energy is -10.58 eV per atom. The value obtained for the total moment is 0.00 μB per formula unit. Its space group is C2/m. For the formation energy, the calculation gives -0.084 eV/atom. The calculated volume is 193.3 Å³/cell.